Entry 1:
## Pr6Y3Ho2 (PBE)

Data for crystalline Pr6Y3Ho2 at its relaxed geometry.

Results
Total moment ... 0.000 μB per atom
Energy relative to the lowest polymorph listed for this composition ... 0 meV per atom

```
Pr6Y3Ho2
1.0
-3.4818 -0.5058 5.9906
5.2681 -3.1999 -0.5174
1.7695 7.1168 9.6677
Ho Pr Y
2 6 3
direct
0.5540 0.6798 0.8973 Ho
0.4460 0.3202 0.1027 Ho
0.6269 0.0997 0.7255 Pr
0.0715 0.4888 0.8185 Pr
0.7241 0.5621 0.5485 Pr
0.9285 0.5112 0.1815 Pr
0.2759 0.4379 0.4515 Pr
0.3731 0.9003 0.2745 Pr
0.1871 0.9751 0.6329 Y
0.8129 0.0249 0.3671 Y
0.0000 0.0000 0.0000 Y
```


Entry 2:
## PrY6Ho4 (PBE)

Data for crystalline PrY6Ho4 at its relaxed geometry.

Results
Total moment ... 0.000 μB per atom
Energy relative to the lowest polymorph listed for this composition ... 0 meV per atom

```
PrY6Ho4
1.0
5.6991 0.0000 0.0000
-2.8496 4.8611 0.0000
0.0000 0.0000 25.7997
Y Ho Pr
12 8 2
direct
0.1789 0.3577 0.8987 Y
0.8211 0.6423 0.1013 Y
0.1540 0.3081 0.3199 Y
0.1540 0.3081 0.1801 Y
0.8211 0.6423 0.3987 Y
0.4892 0.9783 0.2500 Y
0.5000 0.0000 0.5000 Y
0.8460 0.6919 0.6801 Y
0.8460 0.6919 0.8199 Y
0.1789 0.3577 0.6013 Y
0.5000 0.0000 0.0000 Y
0.5108 0.0217 0.7500 Y
0.4846 0.9692 0.3791 Ho
0.4846 0.9692 0.1209 Ho
0.5154 0.0308 0.6209 Ho
0.8380 0.6759 0.5415 Ho
0.1620 0.3241 0.0415 Ho
0.5154 0.0308 0.8791 Ho
0.8380 0.6759 0.9585 Ho
0.1620 0.3241 0.4585 Ho
0.8231 0.6462 0.2500 Pr
0.1769 0.3538 0.7500 Pr
```


Entry 3:
## PrY5Ho2 (PBE)

Data for crystalline PrY5Ho2 at its relaxed geometry.

Results
Total moment ... 0.000 μB per atom
Energy relative to the lowest polymorph listed for this composition ... 32 meV per atom

```
PrY5Ho2
1.0
-4.0610 5.6391 5.4913
-1.0332 1.5941 8.3255
9.0647 6.6777 -0.1537
Ho Y Pr
4 10 2
direct
0.8909 0.5731 0.3832 Ho
0.1091 0.4269 0.6168 Ho
0.8909 0.5731 0.1168 Ho
0.1091 0.4269 0.8832 Ho
0.1979 0.6814 0.0767 Y
0.8021 0.3186 0.9233 Y
0.3362 0.9546 0.4232 Y
0.7706 0.3127 0.2500 Y
0.2294 0.6873 0.7500 Y
0.6638 0.0454 0.9232 Y
0.1979 0.6814 0.4233 Y
0.8021 0.3186 0.5767 Y
0.6638 0.0454 0.5768 Y
0.3362 0.9546 0.0768 Y
0.5029 0.1515 0.2500 Pr
0.4971 0.8485 0.7500 Pr
```


Entry 4:
## Pr2YHo7 (PBE)

Data for crystalline Pr2YHo7 at its relaxed geometry.

Results
Total moment ... 0.000 μB per atom
Energy relative to the lowest polymorph listed for this composition ... 0 meV per atom

```
Pr2YHo7
1.0
-4.9253 2.5647 -2.7065
-1.1429 -0.5533 -7.8784
-5.9650 -5.1719 1.2116
Ho Pr Y
7 2 1
direct
0.5003 0.8986 0.1975 Ho
0.9988 0.6002 0.8025 Ho
0.9993 0.2001 0.6007 Ho
0.0012 0.3998 0.1975 Ho
0.5000 0.5000 0.0000 Ho
0.0007 0.7999 0.3993 Ho
0.4997 0.1014 0.8025 Ho
0.5012 0.7010 0.6004 Pr
0.4988 0.2990 0.3996 Pr
0.0000 0.0000 0.0000 Y
```


Entry 5:
## Pr3Y6Ho2 (PBE)

Data for crystalline Pr3Y6Ho2 at its relaxed geometry.

Results
Total moment ... 0.000 μB per atom
Energy relative to the lowest polymorph listed for this composition ... 0 meV per atom

```
Pr3Y6Ho2
1.0
-1.1503 0.0175 -3.4190
-3.0453 -1.7182 -0.8873
-18.2010 26.2238 4.3550
Y Pr Ho
6 3 2
direct
0.9079 0.9079 0.2763 Y
0.6361 0.6361 0.0918 Y
0.8183 0.8183 0.5452 Y
0.3639 0.3639 0.9082 Y
0.1817 0.1817 0.4548 Y
0.0921 0.0921 0.7237 Y
0.0000 0.0000 0.0000 Pr
0.2720 0.2720 0.1839 Pr
0.7280 0.7280 0.8162 Pr
0.5449 0.5449 0.3654 Ho
0.4551 0.4551 0.6346 Ho
```


Entry 6:
## PrY2Ho4 (PBE)

Data for crystalline PrY2Ho4 at its relaxed geometry.

Results
Total moment ... 0.000 μB per atom
Energy relative to the lowest polymorph listed for this composition ... 0 meV per atom

```
PrY2Ho4
1.0
3.5053 -0.2463 0.3191
-2.6412 8.3709 -3.5142
0.9244 -1.2178 8.4013
Y Ho Pr
2 4 1
direct
0.6396 0.5693 0.8586 Y
0.3604 0.4307 0.1414 Y
0.4116 0.7065 0.5883 Ho
0.5884 0.2935 0.4117 Ho
0.8083 0.1644 0.7138 Ho
0.1917 0.8356 0.2862 Ho
0.0000 0.0000 0.0000 Pr
```


Entry 7:
## PrY6Ho12 (PBE)

Data for crystalline PrY6Ho12 at its relaxed geometry.

Results
Total moment ... 0.000 μB per atom
Energy relative to the lowest polymorph listed for this composition ... 286 meV per atom

```
PrY6Ho12
1.0
-5.8711 7.1561 1.3938
-5.0246 -7.5713 -2.2473
4.5441 -1.7170 8.0016
Y Ho Pr
6 12 1
direct
0.3222 0.3222 0.7519 Y
0.2481 0.6778 0.6778 Y
0.6778 0.6778 0.2481 Y
0.3222 0.7519 0.3222 Y
0.7519 0.3222 0.3222 Y
0.6778 0.2481 0.6778 Y
0.8917 0.5000 0.1083 Ho
0.5000 0.8917 0.1083 Ho
0.1083 0.8917 0.5000 Ho
0.5000 0.1083 0.8917 Ho
0.1083 0.5000 0.8917 Ho
0.3698 0.1593 0.3698 Ho
0.8407 0.6302 0.6302 Ho
0.6302 0.8407 0.6302 Ho
0.6302 0.6302 0.8407 Ho
0.8917 0.1083 0.5000 Ho
0.1593 0.3698 0.3698 Ho
0.3698 0.3698 0.1593 Ho
0.0000 0.0000 0.0000 Pr
```


Entry 8:
## Pr6Y4Ho (PBE)

Data for crystalline Pr6Y4Ho at its relaxed geometry.

Results
Total moment ... 0.000 μB per atom
Energy relative to the lowest polymorph listed for this composition ... 29 meV per atom

```
Pr6Y4Ho
1.0
-3.3958 -5.7616 -1.7218
2.4035 0.5122 -6.4539
7.0324 -1.8490 6.1671
Y Pr Ho
4 6 1
direct
0.7152 0.0627 0.7779 Y
0.2848 0.2848 0.2221 Y
0.9373 0.9373 0.2221 Y
0.0627 0.7152 0.7779 Y
0.8697 0.4860 0.3557 Pr
0.5000 0.0000 0.0000 Pr
0.1303 0.1303 0.6443 Pr
0.4860 0.8697 0.3557 Pr
0.0000 0.5000 0.0000 Pr
0.5140 0.5140 0.6443 Pr
0.5000 0.5000 0.0000 Ho
```


Look up the total moment of the first one.
0.000 μB per atom


energy relative to the lowest polymorph listed for this composition of number 2 (PrY6Ho4)?
0 meV per atom